Below is an optimized crystal structure of OsPbO3, with properties calculated at the PBE level.

Results
The uncorrected formation energy comes out at 0.8143 eV/atom.

abc: 4.192 4.192 4.192
angles: 90.00 90.00 90.00
Sites, in units of the cell vectors:
Os1 0.000 0.000 0.000
Pb1 0.500 0.500 0.500
O1 0.000 0.500 0.500
O2 0.500 0.000 0.500
O3 0.500 0.500 0.000

***

Below is an optimized crystal structure of OsPb2O4, with properties calculated at the PBE level.

Results
The uncorrected formation energy comes out at -0.8049 eV/atom.

abc: 6.045 5.974 5.127
angles: 65.47 64.03 50.50
Sites, in units of the cell vectors:
Os1 0.000 0.000 0.000
Pb1 0.250 0.250 0.250
Pb2 0.750 0.750 0.750
O1 0.214 0.214 0.786
O2 0.242 0.758 0.242
O3 0.758 0.242 0.758
O4 0.786 0.786 0.214

***

Below is an optimized crystal structure of OsPbO2, with properties calculated at the PBE level.

Results
The uncorrected formation energy comes out at -0.3156 eV/atom.

abc: 7.905 7.905 7.905
angles: 22.30 22.30 22.30
Sites, in units of the cell vectors:
Os1 0.000 0.000 0.000
Pb1 0.500 0.500 0.500
O1 0.077 0.077 0.077
O2 0.923 0.923 0.923

***

Below is an optimized crystal structure of Os2PdPbO8, with properties calculated at the PBE level.

Results
The uncorrected formation energy comes out at -0.6392 eV/atom.

abc: 8.375 8.375 8.375
angles: 36.50 36.50 36.50
Sites, in units of the cell vectors:
Os1 0.250 0.250 0.250
Os2 0.750 0.750 0.750
Pd1 0.000 0.000 0.000
Pb1 0.500 0.500 0.500
O1 0.061 0.401 0.730
O2 0.173 0.173 0.173
O3 0.270 0.599 0.939
O4 0.401 0.730 0.061
O5 0.599 0.939 0.270
O6 0.730 0.061 0.401
O7 0.827 0.827 0.827
O8 0.939 0.270 0.599

***

Q: Look up the uncorrected formation energy of the fourth one.
A: -0.6392 eV/atom

***

Q: Which value of uncorrected formation energy does entry 2 give?
A: -0.8049 eV/atom

***

Q: Which formula does entry 1 have?
A: OsPbO3